Density functional theory data (PBE-GGA) for CsNb3W after structural relaxation.

Output
ΔH_f (0 K): 1.643 eV per atom
E above lowest polymorph: 0 meV/atom
Space-group type: Pm-3m

Lattice parameters (Å, degrees): 5.0881 5.0881 5.0881 90.00 90.00 90.00
With the nearest neighbours (Å) after each atom.
Atoms (fractional coordinates):
W 0.0000 0.0000 0.0000  6 Nb 2.54
Nb 0.0000 0.0000 0.5000  2 W 2.54
Nb 0.0000 0.5000 0.0000  2 W 2.54
Nb 0.5000 0.0000 0.0000  2 W 2.54
Cs 0.5000 0.5000 0.5000  12 Nb 3.60

=====

Density functional theory data (PBE-GGA) for OsRh3 after structural relaxation.

Output
ΔH_f (0 K): 0.032 eV per atom
Space-group type: P4/mmm

Lattice parameters (Å, degrees): 2.7140 2.7140 7.7144 90.00 90.00 90.00
With the nearest neighbours (Å) after each atom.
Atoms (fractional coordinates):
Os 0.0000 0.0000 0.0000  8 Rh 2.69, 4 Os 2.71
Rh 0.0000 0.0000 0.5000  12 Rh 2.71-2.75
Rh 0.5000 0.5000 0.2446  4 Os 2.69, 8 Rh 2.71-2.75
Rh 0.5000 0.5000 0.7554  4 Os 2.69, 8 Rh 2.71-2.75

=====

Density functional theory data (PBE-GGA) for KZrCrN3 after structural relaxation.

Output
E_form (uncorrected): -715 meV/atom
Space-group type: C2/m

Lattice parameters (Å, degrees): 3.3069 8.1759 7.3542 102.96 90.00 101.67
With the nearest neighbours (Å) after each atom.
Atoms (fractional coordinates):
K 0.6363 0.2725 0.0457  5 N 2.85-2.93
K 0.3637 0.7275 0.9543  5 N 2.85-2.93
Cr 0.9815 0.9630 0.3363  3 N 1.69-1.83
Cr 0.0185 0.0370 0.6637  3 N 1.69-1.83
N 0.1270 0.2540 0.7132  1 Cr 1.69
N 0.8025 0.6049 0.6369  3 Zr 2.11-2.13
N 0.8730 0.7460 0.2868  1 Cr 1.69
N 0.5247 0.0494 0.3037  2 Cr 1.83
N 0.4753 0.9506 0.6963  2 Cr 1.83
N 0.1975 0.3951 0.3631  3 Zr 2.11-2.13
Zr 0.3310 0.6620 0.4791  3 N 2.11-2.13
Zr 0.6690 0.3380 0.5209  3 N 2.11-2.13

=====

Density functional theory data (PBE-GGA) for K3Ba after structural relaxation.

Output
ΔH_f (0 K): 0.116 eV per atom
Space-group type: I4/mmm

Lattice parameters (Å, degrees): 8.2702 8.2702 8.2702 134.51 134.51 66.30
With the nearest neighbours (Å) after each atom.
Atoms (fractional coordinates):
K 0.2500 0.7500 0.5000  8 K 4.52-4.71, 4 Ba 4.71
K 0.7500 0.2500 0.5000  8 K 4.52-4.71, 4 Ba 4.71
K 0.5000 0.5000 0.0000  4 Ba 4.52, 8 K 4.71
Ba 0.0000 0.0000 0.0000  12 K 4.52-4.71

=====

Density functional theory data (PBE-GGA) for LaHgSCl2 after structural relaxation.

Output
E above lowest polymorph: 599 meV/atom
E_form (uncorrected): -695 meV/atom
Space-group type: P4/mmm

Lattice parameters (Å, degrees): 5.2611 5.2611 5.0936 90.00 90.00 90.00
With the nearest neighbours (Å) after each atom.
Atoms (fractional coordinates):
S 0.0000 0.0000 0.5000  2 Hg 2.55
Cl 0.5000 0.0000 0.0000  2 Hg 2.63
Cl 0.0000 0.5000 0.0000  2 Hg 2.63
Hg 0.0000 0.0000 0.0000  2 S 2.55, 4 Cl 2.63
La 0.5000 0.5000 0.5000  8 Cl 3.66, 4 S 3.72

=====

Density functional theory data (PBE-GGA) for AcPm4In5 after structural relaxation.

Output
ΔH_f (0 K): -0.478 eV per atom
Space-group type: P4/mmm

Lattice parameters (Å, degrees): 3.8937 3.8937 19.5565 90.00 90.00 90.00
With the nearest neighbours (Å) after each atom.
Atoms (fractional coordinates):
Pm 0.0000 0.0000 0.4034  8 In 3.34
Pm 0.0000 0.0000 0.5966  8 In 3.34
Pm 0.0000 0.0000 0.7906  8 In 3.32-3.35
Pm 0.0000 0.0000 0.2094  8 In 3.32-3.35
In 0.5000 0.5000 0.6930  8 Pm 3.34-3.35
In 0.5000 0.5000 0.8858  4 Pm 3.32, 4 Ac 3.54
In 0.5000 0.5000 0.5000  8 Pm 3.34
In 0.5000 0.5000 0.3070  8 Pm 3.34-3.35
In 0.5000 0.5000 0.1142  4 Pm 3.32, 4 Ac 3.54
Ac 0.0000 0.0000 0.0000  8 In 3.54, 4 Ac 3.89

=====

Density functional theory data (PBE-GGA) for FeB2Os after structural relaxation.

Output
ΔH_f (0 K): 0.128 eV per atom
E above lowest polymorph: 0 meV/atom
Space-group type: Fm-3m

Lattice parameters (Å, degrees): 3.7088 3.7088 3.7088 60.00 60.00 60.00
With the nearest neighbours (Å) after each atom.
Atoms (fractional coordinates):
Os 0.5000 0.5000 0.5000  8 B 2.27
B 0.7500 0.7500 0.7500  4 Fe 2.27, 4 Os 2.27
B 0.2500 0.2500 0.2500  4 Fe 2.27, 4 Os 2.27
Fe 0.0000 0.0000 0.0000  8 B 2.27

=====

Density functional theory data (PBE-GGA) for Ho4Er3Tl2 after structural relaxation.

Output
ΔH_f (0 K): -0.154 eV per atom
Space-group type: C2/m

Lattice parameters (Å, degrees): 5.3503 6.5692 10.1384 122.42 90.00 114.03
With the nearest neighbours (Å) after each atom.
Atoms (fractional coordinates):
Ho 0.7337 0.4675 0.0827  2 Tl 3.14-3.31, 2 Ho 3.30, 2 Er 3.32
Ho 0.2663 0.5325 0.9173  2 Tl 3.14-3.31, 2 Ho 3.30, 2 Er 3.32
Ho 0.9016 0.8032 0.5711  3 Tl 3.16-3.23, 1 Ho 3.41, 2 Er 3.49
Ho 0.0984 0.1968 0.4289  3 Tl 3.16-3.23, 1 Ho 3.41, 2 Er 3.49
Er 0.3541 0.7082 0.3213  1 Tl 3.22, 2 Er 3.24-3.52, 5 Ho 3.32-3.58
Er 0.0000 0.0000 0.0000  4 Tl 3.43, 2 Er 3.52, 8 Ho 3.60-3.78
Er 0.6459 0.2918 0.6787  1 Tl 3.22, 2 Er 3.24-3.52, 5 Ho 3.32-3.58
Tl 0.4153 0.8306 0.7464  5 Ho 3.14-3.31, 3 Er 3.22-3.43
Tl 0.5847 0.1694 0.2536  5 Ho 3.14-3.31, 3 Er 3.22-3.43

=====

no.,volume (Å³/atom)
1,26.3
2,14.2
3,15.8
4,70.8
5,28.2
6,29.7
7,9.0
8,29.3